# 1
A relaxed CsLi2MgPt crystal, computed with PBE.

a = 5.2254 Å, b = 5.2254 Å, c = 5.2224 Å
α = 90.00°, β = 90.00°, γ = 90.00°
Space group P4/mmm (No. 123)
One atom of each set of equivalent atoms:
Cs: 0.0000 0.0000 0.0000 x1
Li: 0.0000 0.5000 0.5000 x2
Mg: 0.5000 0.5000 0.0000 x1
Pt: 0.5000 0.5000 0.5000 x1

The formation enthalpy at 0 K comes out at -0.6 eV per formula unit.

# 2
A relaxed La2Ho2Au3 crystal, computed with PBE.

a = 9.1102 Å, b = 9.1102 Å, c = 9.1102 Å
α = 90.00°, β = 90.00°, γ = 90.00°
Space group I2_13 (No. 199)
One atom of each set of equivalent atoms:
La: 0.0742 0.0742 0.0742 x8
Ho: 0.1820 0.3180 0.6820 x8
Au: 0.0000 0.2500 0.3954 x12

The formation enthalpy at 0 K comes out at -4.6 eV per formula unit.

# 3
A relaxed Nd2MgTa2Ir5 crystal, computed with PBE.

a = 10.5106 Å, b = 10.5106 Å, c = 3.5174 Å
α = 90.00°, β = 90.00°, γ = 90.00°
Space group P4/mbm (No. 127)
One atom of each set of equivalent atoms:
Nd: 0.1732 0.3268 0.0000 x4
Mg: 0.0000 0.0000 0.0000 x2
Ta: 0.1323 0.6323 0.0000 x4
Ir: 0.0000 0.5000 0.5000 x2
Ir: 0.0556 0.7996 0.5000 x8

The formation enthalpy at 0 K comes out at -3.1 eV per formula unit.